# 1
HfCrCuS4 after structural relaxation, computed with PBE-GGA.

- formation energy (no corrections) (meV per atom) = -936
- energy above the lowest structure with this stoichiometry (meV per atom) = 66.6

Structure (CIF):
```
data_HfCrCuS4
_cell_length_a 5.999
_cell_length_b 7.135
_cell_length_c 6.078
_cell_angle_alpha 90.00
_cell_angle_beta 96.43
_cell_angle_gamma 90.00
_space_group_name_H-M_alt 'P 1 2 1'
_space_group_IT_number 3
loop_
_space_group_symop_operation_xyz
'x,y,z'
'-x,y,-z'
loop_
_atom_site_label
_atom_site_fract_x
_atom_site_fract_y
_atom_site_fract_z
_atom_site_occupancy
Hf1 0.000 0.000 0.000 1
Hf2 0.000 0.274 0.500 1
Cr1 0.000 0.509 0.000 1
Cr2 0.000 0.771 0.500 1
Cu1 0.500 0.467 0.000 1
Cu2 0.500 0.902 0.000 1
S1 0.228 0.527 0.699 1
S2 0.236 0.748 0.199 1
S3 0.245 0.007 0.686 1
S4 0.245 0.269 0.184 1
```


# 2
Be17CrNi after structural relaxation, computed with PBE-GGA.

- DFT formation energy (eV/atom) = -0.075

Structure (CIF):
```
data_Be17CrNi
_cell_length_a 7.1655
_cell_length_b 7.1655
_cell_length_c 10.6023
_cell_angle_alpha 90.00
_cell_angle_beta 90.00
_cell_angle_gamma 120.00
_space_group_name_H-M_alt 'R 3 m'
_space_group_IT_number 160
_space_group_name_Hall 'R 3 -2"'
loop_
_atom_site_label
_atom_site_fract_x
_atom_site_fract_y
_atom_site_fract_z
_atom_site_occupancy
Be1 0.0000 0.0000 0.0541 1
Be2 0.0000 0.0000 0.2593 1
Be3 0.0028 0.3101 0.1544 1
Be4 0.0082 0.5041 0.3119 1
Be5 0.0106 0.5053 0.6502 1
Be6 0.1699 0.3397 0.3333 1
Cr1 0.0000 0.0000 0.8194 1
Ni1 0.0000 0.0000 0.5040 1
```


# 3
CeBeAl after structural relaxation, computed with PBE-GGA.

- DFT formation energy (eV/atom) = -0.108
- energy above the lowest structure with this stoichiometry (meV per atom) = 0.0

Structure (CIF):
```
data_CeBeAl
_cell_length_a 4.3735
_cell_length_b 4.3735
_cell_length_c 3.5459
_cell_angle_alpha 90.00
_cell_angle_beta 90.00
_cell_angle_gamma 120.00
_space_group_name_H-M_alt 'P -6 m 2'
_space_group_IT_number 187
_space_group_name_Hall 'P -6 2'
loop_
_atom_site_label
_atom_site_fract_x
_atom_site_fract_y
_atom_site_fract_z
_atom_site_occupancy
Ce1 0.0000 0.0000 0.0000 1
Be1 0.6667 0.3333 0.5000 1
Al1 0.3333 0.6667 0.5000 1
```


# 4
Hf2CuIr after structural relaxation, computed with PBE-GGA.

- DFT formation energy (eV/atom) = -0.573
- energy above the lowest structure with this stoichiometry (meV per atom) = 0.0

Structure (CIF):
```
data_Hf2CuIr
_cell_length_a 6.528
_cell_length_b 6.528
_cell_length_c 6.528
_cell_angle_alpha 90.00
_cell_angle_beta 90.00
_cell_angle_gamma 90.00
_space_group_name_H-M_alt 'F m -3 m'
_space_group_IT_number 225
_space_group_name_Hall '-F 4 2 3'
loop_
_atom_site_label
_atom_site_fract_x
_atom_site_fract_y
_atom_site_fract_z
_atom_site_occupancy
Hf1 0.250 0.250 0.250 1
Cu1 0.000 0.000 0.000 1
Ir1 0.000 0.000 0.500 1
```


# 5
NiAg2Br after structural relaxation, computed with PBE-GGA.

- formation energy (no corrections) (meV per atom) = 249
- energy above the lowest structure with this stoichiometry (meV per atom) = 87.4

Structure (CIF):
```
data_NiAg2Br
_cell_length_a 3.2785
_cell_length_b 3.2785
_cell_length_c 24.7055
_cell_angle_alpha 90.00
_cell_angle_beta 90.00
_cell_angle_gamma 120.00
_space_group_name_H-M_alt 'R 3 m'
_space_group_IT_number 160
_space_group_name_Hall 'R 3 -2"'
loop_
_atom_site_label
_atom_site_fract_x
_atom_site_fract_y
_atom_site_fract_z
_atom_site_occupancy
Ni1 0.0000 0.0000 0.0000 1
Ag1 0.0000 0.0000 0.4969 1
Ag2 0.0000 0.0000 0.7431 1
Br1 0.0000 0.0000 0.2717 1
```


# 6
Tb11Pr4Ho9 after structural relaxation, computed with PBE-GGA.

- DFT formation energy (eV/atom) = 0.064

Structure (CIF):
```
data_Tb11Pr4Ho9
_cell_length_a 16.761
_cell_length_b 25.192
_cell_length_c 3.698
_cell_angle_alpha 90.00
_cell_angle_beta 90.00
_cell_angle_gamma 90.00
_space_group_name_H-M_alt 'C m m m'
_space_group_IT_number 65
_space_group_name_Hall '-C 2 2'
loop_
_atom_site_label
_atom_site_fract_x
_atom_site_fract_y
_atom_site_fract_z
_atom_site_occupancy
Tb1 0.000 0.000 0.000 1
Tb2 0.000 0.159 0.000 1
Tb3 0.000 0.364 0.000 1
Tb4 0.213 0.500 0.000 1
Tb5 0.226 0.181 0.000 1
Pr1 0.155 0.399 0.500 1
Ho1 0.000 0.500 0.500 1
Ho2 0.101 0.264 0.500 1
Ho3 0.138 0.073 0.500 1
```


# 7
EuAlAg after structural relaxation, computed with PBE-GGA.

- DFT formation energy (eV/atom) = -0.178

Structure (CIF):
```
data_EuAlAg
_cell_length_a 3.502
_cell_length_b 3.502
_cell_length_c 11.468
_cell_angle_alpha 90.00
_cell_angle_beta 90.00
_cell_angle_gamma 90.00
_space_group_name_H-M_alt 'I 4 m m'
_space_group_IT_number 107
_space_group_name_Hall 'I 4 -2'
loop_
_atom_site_label
_atom_site_fract_x
_atom_site_fract_y
_atom_site_fract_z
_atom_site_occupancy
Eu1 0.000 0.000 0.000 1
Al1 0.000 0.000 0.695 1
Ag1 0.000 0.000 0.299 1
```


# 8
Sm3Mg2Ga4 after structural relaxation, computed with PBE-GGA.

- DFT formation energy (eV/atom) = -0.494
- energy above the lowest structure with this stoichiometry (meV per atom) = 0.0

Structure (CIF):
```
data_Sm3Mg2Ga4
_cell_length_a 10.962
_cell_length_b 4.592
_cell_length_c 8.884
_cell_angle_alpha 90.00
_cell_angle_beta 111.46
_cell_angle_gamma 90.00
_space_group_name_H-M_alt 'C 1 2/m 1'
_space_group_IT_number 12
loop_
_space_group_symop_operation_xyz
'x,y,z'
'-x,-y,-z'
'-x,y,-z'
'x,-y,z'
'x+1/2,y+1/2,z'
'-x+1/2,-y+1/2,-z'
'-x+1/2,y+1/2,-z'
'x+1/2,-y+1/2,z'
loop_
_atom_site_label
_atom_site_fract_x
_atom_site_fract_y
_atom_site_fract_z
_atom_site_occupancy
Sm1 0.000 0.000 0.000 1
Sm2 0.164 0.500 0.670 1
Mg1 0.115 0.500 0.282 1
Ga1 0.072 0.000 0.414 1
Ga2 0.200 0.500 0.029 1
```


no.,theoretical density (g cm⁻³),raw total energy (eV for the cell shown)
1,5.43,-93.47
2,2.79,-240.50
3,4.98,-13.73
4,14.63,-140.63
5,7.68,-36.48
6,8.07,-219.41
7,6.77,-34.81
8,6.21,-67.81